Entry 1:
{
  "formula": "Nd4PS2Br",
  "functional": "PBE",
  "state": "optimized geometry",
  "crystal_system": "monoclinic",
  "lattice_angstrom": [[-1.7644, -3.6455, -0.8446], [4.4688, -3.2183, 4.5551], [-2.9905, -0.0908, 6.6388]],
  "species": ["Br", "S", "S", "Nd", "Nd", "Nd", "Nd", "P"],
  "fractional_positions": [[0.5000, 0.5000, 0.0000], [0.5000, 0.0000, 0.5000], [0.0000, 0.0000, 0.0000], [0.5000, 0.2421, 0.7276], [0.0000, 0.2235, 0.2836], [0.5000, 0.7579, 0.2724], [0.0000, 0.7765, 0.7164], [0.0000, 0.5000, 0.5000]]
}


Entry 2:
{
  "formula": "Nd6SbP2Br3",
  "functional": "PBE",
  "state": "optimized geometry",
  "crystal_system": "monoclinic",
  "lattice_angstrom": [[4.2575, 0.0000, 0.0000], [0.0000, 8.8291, 0.2125], [-2.1287, -2.6540, 9.1894]],
  "species": ["Br", "Br", "Br", "Nd", "Nd", "Nd", "Nd", "Nd", "Nd", "Sb", "P", "P"],
  "fractional_positions": [[0.1645, 0.8337, 0.3289], [0.8355, 0.1663, 0.6711], [0.5000, 0.5000, 0.0000], [0.3228, 0.4431, 0.6455], [0.9802, 0.7461, 0.9605], [0.0198, 0.2539, 0.0395], [0.6666, 0.1257, 0.3333], [0.3334, 0.8743, 0.6667], [0.6772, 0.5569, 0.3545], [0.5000, 0.0000, 0.0000], [0.8289, 0.6603, 0.6577], [0.1711, 0.3397, 0.3423]]
}


Entry 3:
{
  "formula": "Nd8P3Se4Br",
  "functional": "PBE",
  "state": "optimized geometry",
  "crystal_system": "trigonal",
  "lattice_angstrom": [[-6.0821, -3.7253, -4.4949], [5.1641, -6.4832, -1.6144], [-1.4709, 2.3256, 7.9689]],
  "species": ["Nd", "Nd", "Nd", "Nd", "Nd", "Nd", "Nd", "Nd", "Se", "Se", "Se", "Se", "P", "P", "P", "Br"],
  "fractional_positions": [[0.2573, 0.7392, 0.5146], [0.7432, 0.7296, 0.4864], [0.2573, 0.7392, 0.9819], [0.7427, 0.2608, 0.4854], [0.2568, 0.2704, 0.5136], [0.2753, 0.2608, 0.0181], [0.7247, 0.7392, 0.9819], [0.7427, 0.2608, 0.0181], [0.0000, 0.0000, 0.5000], [0.5000, 0.0000, 0.0000], [0.5000, 0.0000, 0.5000], [0.0000, 0.0000, 0.0000], [0.5000, 0.5000, 0.5000], [0.0000, 0.5000, 0.5000], [0.5000, 0.5000, 0.0000], [0.0000, 0.5000, 0.0000]]
}


Entry 4:
{
  "formula": "Nd6P2SeBr3",
  "functional": "PBE",
  "state": "optimized geometry",
  "crystal_system": "monoclinic",
  "lattice_angstrom": [[4.2343, 0.0000, 0.0000], [0.0000, 8.6668, 0.1143], [-2.1172, -2.7036, 9.0367]],
  "species": ["Nd", "Nd", "Nd", "Nd", "Nd", "Nd", "Br", "Br", "Br", "Se", "P", "P"],
  "fractional_positions": [[0.6603, 0.1177, 0.3206], [0.9860, 0.7670, 0.9719], [0.0140, 0.2330, 0.0281], [0.6774, 0.5569, 0.3548], [0.3397, 0.8823, 0.6794], [0.3226, 0.4431, 0.6452], [0.8335, 0.1662, 0.6670], [0.5000, 0.5000, 0.0000], [0.1665, 0.8338, 0.3330], [0.5000, 0.0000, 0.0000], [0.1679, 0.3356, 0.3358], [0.8321, 0.6644, 0.6642]]
}


| no. | formation energy (no corrections) (eV/atom) |
| --- | --- |
| 1 | -1.7298 |
| 2 | -1.3832 |
| 3 | -1.7114 |
| 4 | -1.4914 |